# 1
# BaBe2Cr, relaxed, DFT PBE-GGA
data_BaBe2Cr
_chemical_formula_sum 'Ba2 Be4 Cr2'
_cell_length_a 4.481
_cell_length_b 5.926
_cell_length_c 7.103
_cell_angle_alpha 90.00
_cell_angle_beta 90.00
_cell_angle_gamma 90.00
_symmetry_space_group_name_H-M 'I m m m'
_symmetry_Int_Tables_number 71
_symmetry_space_group_name_Hall '-I 2 2'
loop_
_atom_site_label
_atom_site_type_symbol
_atom_site_fract_x
_atom_site_fract_y
_atom_site_fract_z
Ba1 Ba 0.000 0.000 0.000
Be1 Be 0.000 0.500 0.150
Cr1 Cr 0.000 0.000 0.500
# Crystal system   orthorhombic
# Relative energy among the computed polymorphs   0.4520 eV per atom

# 2
# Rb2In3Sn4Bi, relaxed, DFT PBE-GGA
data_Rb2In3Sn4Bi
_chemical_formula_sum 'Rb2 In3 Sn4 Bi1'
_cell_length_a 5.377
_cell_length_b 5.377
_cell_length_c 11.936
_cell_angle_alpha 90.00
_cell_angle_beta 90.00
_cell_angle_gamma 90.00
_symmetry_space_group_name_H-M 'P -4 m 2'
_symmetry_Int_Tables_number 115
_symmetry_space_group_name_Hall 'P -4 -2'
loop_
_atom_site_label
_atom_site_type_symbol
_atom_site_fract_x
_atom_site_fract_y
_atom_site_fract_z
Rb1 Rb 0.000 0.500 0.247
In1 In 0.000 0.500 0.877
In2 In 0.500 0.500 0.500
Sn1 Sn 0.000 0.000 0.000
Sn2 Sn 0.000 0.500 0.628
Sn3 Sn 0.500 0.500 0.000
Bi1 Bi 0.000 0.000 0.500
# Crystal system   tetragonal

# 3
# Tb4Ho3Cd4, relaxed, DFT PBE-GGA
data_Tb4Ho3Cd4
_chemical_formula_sum 'Tb8 Ho6 Cd8'
_cell_length_a 3.490
_cell_length_b 5.325
_cell_length_c 33.498
_cell_angle_alpha 90.00
_cell_angle_beta 90.00
_cell_angle_gamma 90.00
_symmetry_space_group_name_H-M 'I m m m'
_symmetry_Int_Tables_number 71
_symmetry_space_group_name_Hall '-I 2 2'
loop_
_atom_site_label
_atom_site_type_symbol
_atom_site_fract_x
_atom_site_fract_y
_atom_site_fract_z
Tb1 Tb 0.000 0.000 0.091
Tb2 Tb 0.000 0.500 0.232
Ho1 Ho 0.000 0.000 0.363
Ho2 Ho 0.000 0.500 0.500
Cd1 Cd 0.000 0.000 0.182
Cd2 Cd 0.000 0.500 0.044
# Crystal system   orthorhombic

# 4
# TeC2S, relaxed, DFT PBE-GGA
data_TeC2S
_chemical_formula_sum 'Te4 C8 S4'
_cell_length_a 5.221
_cell_length_b 5.221
_cell_length_c 8.036
_cell_angle_alpha 90.00
_cell_angle_beta 90.00
_cell_angle_gamma 90.00
_symmetry_space_group_name_H-M 'I -4 2 d'
_symmetry_Int_Tables_number 122
_symmetry_space_group_name_Hall 'I -4 2bw'
loop_
_atom_site_label
_atom_site_type_symbol
_atom_site_fract_x
_atom_site_fract_y
_atom_site_fract_z
Te1 Te 0.000 0.000 0.000
C1 C 0.136 0.250 0.625
S1 S 0.000 0.000 0.500
# Formation energy without anion corrections   7.6 eV per formula unit
# Crystal system   tetragonal
# Relative energy among the computed polymorphs   0.0000 eV per atom

# 5
# DyCuIr4, relaxed, DFT PBE-GGA
data_DyCuIr4
_chemical_formula_sum 'Dy4 Cu4 Ir16'
_cell_length_a 7.422
_cell_length_b 7.422
_cell_length_c 7.422
_cell_angle_alpha 90.00
_cell_angle_beta 90.00
_cell_angle_gamma 90.00
_symmetry_space_group_name_H-M 'F -4 3 m'
_symmetry_Int_Tables_number 216
_symmetry_space_group_name_Hall 'F -4 2 3'
loop_
_atom_site_label
_atom_site_type_symbol
_atom_site_fract_x
_atom_site_fract_y
_atom_site_fract_z
Dy1 Dy 0.000 0.000 0.000
Cu1 Cu 0.250 0.250 0.250
Ir1 Ir 0.125 0.125 0.625
# Crystal system   cubic

# 6
# PmZrAgPb, relaxed, DFT PBE-GGA
data_PmZrAgPb
_chemical_formula_sum 'Pm4 Zr4 Ag4 Pb4'
_cell_length_a 7.351
_cell_length_b 7.351
_cell_length_c 7.351
_cell_angle_alpha 90.00
_cell_angle_beta 90.00
_cell_angle_gamma 90.00
_symmetry_space_group_name_H-M 'F -4 3 m'
_symmetry_Int_Tables_number 216
_symmetry_space_group_name_Hall 'F -4 2 3'
loop_
_atom_site_label
_atom_site_type_symbol
_atom_site_fract_x
_atom_site_fract_y
_atom_site_fract_z
Pm1 Pm 0.000 0.000 0.000
Zr1 Zr 0.000 0.000 0.500
Ag1 Ag 0.250 0.250 0.250
Pb1 Pb 0.250 0.250 0.750
# Crystal system   cubic

# 7
# KLiOs, relaxed, DFT PBE-GGA
data_KLiOs
_chemical_formula_sum 'K2 Li2 Os2'
_cell_length_a 2.709
_cell_length_b 2.709
_cell_length_c 16.438
_cell_angle_alpha 90.00
_cell_angle_beta 90.00
_cell_angle_gamma 90.00
_symmetry_space_group_name_H-M 'I 4 m m'
_symmetry_Int_Tables_number 107
_symmetry_space_group_name_Hall 'I 4 -2'
loop_
_atom_site_label
_atom_site_type_symbol
_atom_site_fract_x
_atom_site_fract_y
_atom_site_fract_z
K1 K 0.000 0.000 0.000
Li1 Li 0.000 0.000 0.285
Os1 Os 0.000 0.000 0.665
# Crystal system   tetragonal
# Relative energy among the computed polymorphs   0.2350 eV per atom

# 8
# GaCo3Ni, relaxed, DFT PBE-GGA
data_GaCo3Ni
_chemical_formula_sum 'Ga1 Co3 Ni1'
_cell_length_a 4.265
_cell_length_b 4.265
_cell_length_c 4.265
_cell_angle_alpha 90.00
_cell_angle_beta 90.00
_cell_angle_gamma 90.00
_symmetry_space_group_name_H-M 'P m -3 m'
_symmetry_Int_Tables_number 221
_symmetry_space_group_name_Hall '-P 4 2 3'
loop_
_atom_site_label
_atom_site_type_symbol
_atom_site_fract_x
_atom_site_fract_y
_atom_site_fract_z
Ga1 Ga 0.000 0.000 0.000
Co1 Co 0.000 0.500 0.500
Ni1 Ni 0.500 0.500 0.500
# Crystal system   cubic
# Relative energy among the computed polymorphs   0.0000 eV per atom

no.,final energy (eV per atom)
1,-3.889
2,-3.147
3,-3.326
4,-4.521
5,-7.581
6,-5.146
7,-3.872
8,-5.048